No. 1
Below is an optimized crystal structure of La3ZnCu2Pd9, with properties calculated at the PBE level.

Structure (CIF):
```
data_La3ZnCu2Pd9
_cell_length_a 7.6287
_cell_length_b 7.6287
_cell_length_c 6.1619
_cell_angle_alpha 90.00
_cell_angle_beta 90.00
_cell_angle_gamma 120.00
_symmetry_space_group_name_H-M 'P -3 m 1'
_symmetry_Int_Tables_number 164
_symmetry_space_group_name_Hall '-P 3 2"'
loop_
_atom_site_label
_atom_site_fract_x
_atom_site_fract_y
_atom_site_fract_z
La1 0.0000 0.0000 0.0000
La2 0.3333 0.6667 0.6692
Zn1 0.0000 0.0000 0.5000
Cu1 0.3333 0.6667 0.1669
Pd1 0.0000 0.5000 0.0000
Pd2 0.1660 0.3320 0.3299
```

Fermi-level density of states = 5.530 states/eV/cell
Raw total energy = -5.1083 eV/atom
Formation energy from the elements = -0.376 eV/atom

***

No. 2
Below is an optimized crystal structure of Th2PaTaN6, with properties calculated at the PBE level.

Structure (CIF):
```
data_Th2PaTaN6
_cell_length_a 5.9548
_cell_length_b 5.9548
_cell_length_c 14.4379
_cell_angle_alpha 90.00
_cell_angle_beta 90.00
_cell_angle_gamma 120.00
_symmetry_space_group_name_H-M 'R 3'
_symmetry_Int_Tables_number 146
_symmetry_space_group_name_Hall 'R 3'
loop_
_atom_site_label
_atom_site_fract_x
_atom_site_fract_y
_atom_site_fract_z
Th1 0.0000 0.0000 0.0000
Th2 0.0000 0.0000 0.4919
Pa1 0.0000 0.0000 0.7624
Ta1 0.0000 0.0000 0.2610
N1 0.0002 0.4027 0.5282
N2 0.0357 0.6264 0.0277
```

Fermi-level density of states = 0.000 states/eV/cell
Formation energy (no corrections) = -1442 kJ/mol of formula units
Raw total energy = -10.1085 eV/atom

***

No. 3
Below is an optimized crystal structure of Li2AuCl, with properties calculated at the PBE level.

Structure (CIF):
```
data_Li2AuCl
_cell_length_a 3.472
_cell_length_b 3.248
_cell_length_c 6.591
_cell_angle_alpha 90.00
_cell_angle_beta 90.93
_cell_angle_gamma 90.00
_symmetry_space_group_name_H-M 'P 1 2/m 1'
_symmetry_Int_Tables_number 10
_symmetry_space_group_name_Hall '-P 2y'
loop_
_atom_site_label
_atom_site_fract_x
_atom_site_fract_y
_atom_site_fract_z
Li1 0.008 0.000 0.242
Au1 0.500 0.500 0.000
Cl1 0.000 0.500 0.500
```

Fermi-level density of states = 0.583 states/eV/cell
Formation energy (no corrections) = -378 kJ/mol of formula units
Raw total energy = -3.2180 eV/atom
Energy above the lowest structure with this stoichiometry = 28 meV per atom

***

No. 4
Below is an optimized crystal structure of Tb2ErAu, with properties calculated at the PBE level.

Structure (CIF):
```
data_Tb2ErAu
_cell_length_a 6.953
_cell_length_b 9.746
_cell_length_c 6.679
_cell_angle_alpha 90.00
_cell_angle_beta 90.00
_cell_angle_gamma 90.00
_symmetry_space_group_name_H-M 'P n m a'
_symmetry_Int_Tables_number 62
_symmetry_space_group_name_Hall '-P 2ac 2n'
loop_
_atom_site_label
_atom_site_fract_x
_atom_site_fract_y
_atom_site_fract_z
Tb1 0.199 0.055 0.195
Er1 0.016 0.250 0.618
Au1 0.086 0.750 0.965
```

Fermi-level density of states = 12.868 states/eV/cell
Raw total energy = -4.7195 eV/atom
Energy above the lowest structure with this stoichiometry = 0 meV per atom
Formation energy from the elements = -0.444 eV/atom

***

No. 5
Below is an optimized crystal structure of PWSe2, with properties calculated at the PBE level.

Structure (CIF):
```
data_PWSe2
_cell_length_a 3.2658
_cell_length_b 3.2658
_cell_length_c 26.0170
_cell_angle_alpha 90.00
_cell_angle_beta 90.00
_cell_angle_gamma 120.00
_symmetry_space_group_name_H-M 'R -3 m'
_symmetry_Int_Tables_number 166
_symmetry_space_group_name_Hall '-R 3 2"'
loop_
_atom_site_label
_atom_site_fract_x
_atom_site_fract_y
_atom_site_fract_z
P1 0.0000 0.0000 0.0000
W1 0.0000 0.0000 0.5000
Se1 0.0000 0.0000 0.0997
```

Fermi-level density of states = 6.311 states/eV/cell
Formation energy (no corrections) = 104 kJ/mol of formula units
Raw total energy = -6.0646 eV/atom

***

No. 6
Below is an optimized crystal structure of BaLu2P, with properties calculated at the PBE level.

Structure (CIF):
```
data_BaLu2P
_cell_length_a 3.7856
_cell_length_b 3.7856
_cell_length_c 31.4981
_cell_angle_alpha 90.00
_cell_angle_beta 90.00
_cell_angle_gamma 120.00
_symmetry_space_group_name_H-M 'R -3 m'
_symmetry_Int_Tables_number 166
_symmetry_space_group_name_Hall '-R 3 2"'
loop_
_atom_site_label
_atom_site_fract_x
_atom_site_fract_y
_atom_site_fract_z
Ba1 0.0000 0.0000 0.0000
Lu1 0.0000 0.0000 0.1172
P1 0.0000 0.0000 0.5000
```

Fermi-level density of states = 11.768 states/eV/cell
Raw total energy = -4.6136 eV/atom
Formation energy from the elements = -0.520 eV/atom

***

raw total energy of number 5 (PWSe2)? -6.0646 eV/atom

***

What is the Fermi-level density of states in the fourth record? 12.868 states/eV/cell

***

Which value of Fermi-level density of states does entry 6 give? 11.768 states/eV/cell